# 1
Zr2GeTe | GGA-PBE | relaxed

Values from the calculation:
- Spin magnetization: 0.00 μB/atom
- Energy relative to the elements, uncorrected: -841 meV per atom
- Polymorph energy (0 for the lowest one): 0.0 meV/atom

a = 3.9041 Å, b = 3.9041 Å, c = 20.7456 Å
α = 90.00°, β = 90.00°, γ = 120.00°
Space group R3m (No. 160, hexagonal axes)
Asymmetric unit:
Zr  0.0000  0.0000  0.0000
Zr  0.0000  0.0000  0.1913
Ge  0.0000  0.0000  0.5942
Te  0.0000  0.0000  0.7625

# 2
Dy2HoPd3 | GGA-PBE | relaxed

Values from the calculation:
- Formation energy from the elements: -0.8954 eV/atom
- Spin magnetization: 0.00 μB/atom
- Polymorph energy (0 for the lowest one): 0.0 meV/atom

a = 5.0014 Å, b = 15.0097 Å, c = 3.4289 Å
α = 90.00°, β = 90.00°, γ = 90.00°
Space group Pmmn (No. 59, origin choice 2)
Asymmetric unit:
Dy  0.2500  0.0834  0.0000
Ho  0.2500  0.7500  0.0008
Pd  0.2500  0.2500  0.4993
Pd  0.2500  0.5846  0.5001

# 3
ZrReIr2 | GGA-PBE | relaxed

Values from the calculation:
- Formation energy from the elements: 0.0277 eV/atom
- Spin magnetization: 0.00 μB/atom
- Polymorph energy (0 for the lowest one): 433.3 meV/atom

a = 2.8153 Å, b = 2.8153 Å, c = 28.3807 Å
α = 90.00°, β = 90.00°, γ = 120.00°
Space group R3m (No. 160, hexagonal axes)
Asymmetric unit:
Zr  0.0000  0.0000  0.0000
Re  0.0000  0.0000  0.7595
Ir  0.0000  0.0000  0.2481
Ir  0.0000  0.0000  0.4999

# 4
Zn2RuAu2 | GGA-PBE | relaxed

Values from the calculation:
- Formation energy from the elements: 0.1858 eV/atom
- Spin magnetization: 0.00 μB/atom

a = 7.6498 Å, b = 7.6498 Å, c = 2.7738 Å
α = 90.00°, β = 90.00°, γ = 90.00°
Space group P4/mbm (No. 127)
Asymmetric unit:
Zn  0.1674  0.3326  0.0000
Ru  0.0000  0.0000  0.5000
Au  0.1334  0.6334  0.5000

What did the first record say?
Zr2GeTe | GGA-PBE | relaxed

Values from the calculation:
- Spin magnetization: 0.00 μB/atom
- Energy relative to the elements, uncorrected: -841 meV per atom
- Polymorph energy (0 for the lowest one): 0.0 meV/atom

a = 3.9041 Å, b = 3.9041 Å, c = 20.7456 Å
α = 90.00°, β = 90.00°, γ = 120.00°
Space group R3m (No. 160, hexagonal axes)
Asymmetric unit:
Zr  0.0000  0.0000  0.0000
Zr  0.0000  0.0000  0.1913
Ge  0.0000  0.0000  0.5942
Te  0.0000  0.0000  0.7625